Record 1
A plane-wave DFT calculation with PBE was carried out for a relaxed Ba3Tl2Zn crystal.

Values from the calculation:
E_form: -1.9 eV per formula unit
Crystal system: orthorhombic
DOS at the Fermi energy: 0.693 states/eV per atom

Lattice parameters (Å, degrees): 5.989 17.922 4.246 90.00 90.00 90.00
Space group Cmmm (No. 65)
Asymmetric unit:
1 Ba 0.000 0.000 0.000 x2
2 Ba 0.000 0.340 0.000 x4
3 Tl 0.000 0.173 0.500 x4
4 Zn 0.000 0.500 0.500 x2

***

Record 2
A plane-wave DFT calculation with PBE was carried out for a relaxed BaTlZn2 crystal.

Values from the calculation:
E_form: -0.7 eV per formula unit
Crystal system: monoclinic
DOS at the Fermi energy: 0.972 states/eV per atom

Lattice parameters (Å, degrees): 7.892 4.524 6.949 90.00 112.21 90.00
Space group Cm (No. 8)
Asymmetric unit:
1 Ba 0.000 0.000 0.000 x2
2 Tl 0.207 0.000 0.624 x2
3 Zn 0.292 0.500 0.380 x2
4 Zn 0.459 0.000 0.380 x2

***

Record 3
A plane-wave DFT calculation with PBE was carried out for a relaxed Ba5Tl2Zn crystal.

Values from the calculation:
E_form: -1.9 eV per formula unit
Crystal system: orthorhombic
DOS at the Fermi energy: 0.811 states/eV per atom

Lattice parameters (Å, degrees): 7.701 14.678 6.020 90.00 90.00 90.00
Space group Pbam (No. 55)
Asymmetric unit:
1 Ba 0.000 0.000 0.000 x2
2 Ba 0.142 0.286 0.000 x4
3 Ba 0.164 0.606 0.500 x4
4 Tl 0.135 0.869 0.500 x4
5 Zn 0.000 0.500 0.000 x2

***

Record 4
A plane-wave DFT calculation with PBE was carried out for a relaxed Ba2TlZn2 crystal.

Values from the calculation:
E_form: -1.0 eV per formula unit
Crystal system: tetragonal
Energy above the lowest structure with this stoichiometry: 29.8 meV/atom
DOS at the Fermi energy: 0.773 states/eV per atom

Lattice parameters (Å, degrees): 8.773 8.773 4.407 90.00 90.00 90.00
Space group P4/mbm (No. 127)
Asymmetric unit:
1 Ba 0.192 0.308 0.000 x4
2 Tl 0.000 0.000 0.500 x2
3 Zn 0.103 0.603 0.500 x4